Compound: SrBSe2
Source: Alexandria
Functional: SCAN
Structure: PBEsol geometry

## Properties
N(E_F) = 0.4113 states/eV/atom
Calculated volume = 32.356 Å³/atom
Formation energy from raw total energies = -0.54 eV/atom

Structure (CIF):
```
data_SrBSe2
_chemical_formula_sum 'Sr3 B3 Se6'
_symmetry_space_group_name_H-M 'R -3 m'
_symmetry_Int_Tables_number 166
_symmetry_space_group_name_Hall '-R 3 2"'
_cell_length_a 4.7866
_cell_length_b 4.7866
_cell_length_c 19.5679
_cell_angle_alpha 90.00
_cell_angle_beta 90.00
_cell_angle_gamma 120.00
loop_
_atom_site_label
_atom_site_fract_x
_atom_site_fract_y
_atom_site_fract_z
_atom_site_occupancy
Sr1 0.0000 0.0000 0.0000 1
B1 0.0000 0.0000 0.5000 1
Se1 0.0000 0.0000 0.4048 1
```


Compound: SrB3Se
Source: Alexandria
Functional: SCAN
Structure: PBEsol geometry

## Properties
N(E_F) = 0.6655 states/eV/atom
Calculated volume = 23.047 Å³/atom
Formation energy from raw total energies = 2.90 eV/atom

Structure (CIF):
```
data_SrB3Se
_chemical_formula_sum 'Sr1 B3 Se1'
_symmetry_space_group_name_H-M 'P m -3 m'
_symmetry_Int_Tables_number 221
_symmetry_space_group_name_Hall '-P 4 2 3'
_cell_length_a 4.866
_cell_length_b 4.866
_cell_length_c 4.866
_cell_angle_alpha 90.00
_cell_angle_beta 90.00
_cell_angle_gamma 90.00
loop_
_atom_site_label
_atom_site_fract_x
_atom_site_fract_y
_atom_site_fract_z
_atom_site_occupancy
Sr1 0.000 0.000 0.000 1
B1 0.000 0.000 0.500 1
Se1 0.500 0.500 0.500 1
```


Compound: SrBSe2
Source: Alexandria
Functional: SCAN
Structure: PBEsol geometry

## Properties
N(E_F) = 0.4627 states/eV/atom
Calculated volume = 20.594 Å³/atom
Formation energy from raw total energies = -0.50 eV/atom

Structure (CIF):
```
data_SrBSe2
_chemical_formula_sum 'Sr4 B4 Se8'
_symmetry_space_group_name_H-M 'I -4 2 d'
_symmetry_Int_Tables_number 122
_symmetry_space_group_name_Hall 'I -4 2bw'
_cell_length_a 6.968
_cell_length_b 6.968
_cell_length_c 6.786
_cell_angle_alpha 90.00
_cell_angle_beta 90.00
_cell_angle_gamma 90.00
loop_
_atom_site_label
_atom_site_fract_x
_atom_site_fract_y
_atom_site_fract_z
_atom_site_occupancy
Sr1 0.000 0.000 0.000 1
B1 0.000 0.000 0.500 1
Se1 0.133 0.250 0.625 1
```


Compound: Ta3BSe
Source: Alexandria
Functional: SCAN
Structure: PBEsol geometry

## Properties
N(E_F) = 1.2402 states/eV/atom
Calculated volume = 16.256 Å³/atom
Formation energy from raw total energies = 0.46 eV/atom

Structure (CIF):
```
data_Ta3BSe
_chemical_formula_sum 'Ta3 B1 Se1'
_symmetry_space_group_name_H-M 'P m -3 m'
_symmetry_Int_Tables_number 221
_symmetry_space_group_name_Hall '-P 4 2 3'
_cell_length_a 4.332
_cell_length_b 4.332
_cell_length_c 4.332
_cell_angle_alpha 90.00
_cell_angle_beta 90.00
_cell_angle_gamma 90.00
loop_
_atom_site_label
_atom_site_fract_x
_atom_site_fract_y
_atom_site_fract_z
_atom_site_occupancy
Ta1 0.000 0.000 0.500 1
B1 0.000 0.000 0.000 1
Se1 0.500 0.500 0.500 1
```